Entry 1:
# ZnCr3Pd

Crystalline ZnCr3Pd at its relaxed geometry (GGA-PBE, the Alexandria database).

Properties
As for the energy: -5.791 eV per atom. The formation enthalpy at 0 K comes out at 123.11 kJ per mole of atoms.

a = 4.8597 Å, b = 4.8597 Å, c = 4.8597 Å
α = 90.00°, β = 90.00°, γ = 90.00°
Fractional positions:
Zn (0.0000, 0.0000, 0.0000)
Cr (0.0000, 0.5000, 0.5000)
Cr (0.5000, 0.0000, 0.5000)
Cr (0.5000, 0.5000, 0.0000)
Pd (0.5000, 0.5000, 0.5000)

---

Entry 2:
# Zn2CrPd

Crystalline Zn2CrPd at its relaxed geometry (GGA-PBE, the Alexandria database).

Properties
As for the energy: -3.884 eV per atom. The formation enthalpy at 0 K comes out at 44.08 kJ per mole of atoms.

a = 5.4869 Å, b = 5.4869 Å, c = 5.4869 Å
α = 102.96°, β = 102.96°, γ = 123.47°
Fractional positions:
Zn (0.1232, 0.6250, 0.9982)
Zn (0.3750, 0.3732, 0.4982)
Zn (0.6268, 0.1250, 0.0018)
Zn (0.8750, 0.8768, 0.5018)
Cr (0.0000, 0.0000, 0.0000)
Cr (0.7500, 0.2500, 0.5000)
Pd (0.2500, 0.7500, 0.5000)
Pd (0.5000, 0.5000, 0.0000)

---

Entry 3:
# Zn4CrPd

Crystalline Zn4CrPd at its relaxed geometry (GGA-PBE, the Alexandria database).

Properties
As for the energy: -3.413 eV per atom. The formation enthalpy at 0 K comes out at -9.12 kJ per mole of atoms.

a = 4.9797 Å, b = 4.9797 Å, c = 4.9797 Å
α = 60.00°, β = 60.00°, γ = 60.00°
Fractional positions:
Zn (0.1252, 0.1252, 0.1252)
Zn (0.1252, 0.1252, 0.6243)
Zn (0.1252, 0.6243, 0.1252)
Zn (0.6243, 0.1252, 0.1252)
Cr (0.7500, 0.7500, 0.7500)
Pd (0.5000, 0.5000, 0.5000)

---

Entry 4:
# Zn6CrPd12

Crystalline Zn6CrPd12 at its relaxed geometry (GGA-PBE, the Alexandria database).

Properties
As for the energy: -4.489 eV per atom. The formation enthalpy at 0 K comes out at -28.96 kJ per mole of atoms.

a = 7.3138 Å, b = 7.3138 Å, c = 7.3138 Å
α = 110.69°, β = 110.69°, γ = 110.69°
Fractional positions:
Zn (0.0237, 0.1933, 0.3136)
Zn (0.1933, 0.3136, 0.0237)
Zn (0.3136, 0.0237, 0.1933)
Zn (0.6864, 0.9763, 0.8067)
Zn (0.8067, 0.6864, 0.9763)
Zn (0.9763, 0.8067, 0.6864)
Cr (0.5000, 0.5000, 0.5000)
Pd (0.0777, 0.5788, 0.8745)
Pd (0.1255, 0.9223, 0.4212)
Pd (0.2404, 0.6590, 0.6002)
Pd (0.3410, 0.3998, 0.7596)
Pd (0.3998, 0.7596, 0.3410)
Pd (0.4212, 0.1255, 0.9223)
Pd (0.5788, 0.8745, 0.0777)
Pd (0.6002, 0.2404, 0.6590)
Pd (0.6590, 0.6002, 0.2404)
Pd (0.7596, 0.3410, 0.3998)
Pd (0.8745, 0.0777, 0.5788)
Pd (0.9223, 0.4212, 0.1255)

---

Copy entry 4 word for word.
# Zn6CrPd12

Crystalline Zn6CrPd12 at its relaxed geometry (GGA-PBE, the Alexandria database).

Properties
As for the energy: -4.489 eV per atom. The formation enthalpy at 0 K comes out at -28.96 kJ per mole of atoms.

a = 7.3138 Å, b = 7.3138 Å, c = 7.3138 Å
α = 110.69°, β = 110.69°, γ = 110.69°
Fractional positions:
Zn (0.0237, 0.1933, 0.3136)
Zn (0.1933, 0.3136, 0.0237)
Zn (0.3136, 0.0237, 0.1933)
Zn (0.6864, 0.9763, 0.8067)
Zn (0.8067, 0.6864, 0.9763)
Zn (0.9763, 0.8067, 0.6864)
Cr (0.5000, 0.5000, 0.5000)
Pd (0.0777, 0.5788, 0.8745)
Pd (0.1255, 0.9223, 0.4212)
Pd (0.2404, 0.6590, 0.6002)
Pd (0.3410, 0.3998, 0.7596)
Pd (0.3998, 0.7596, 0.3410)
Pd (0.4212, 0.1255, 0.9223)
Pd (0.5788, 0.8745, 0.0777)
Pd (0.6002, 0.2404, 0.6590)
Pd (0.6590, 0.6002, 0.2404)
Pd (0.7596, 0.3410, 0.3998)
Pd (0.8745, 0.0777, 0.5788)
Pd (0.9223, 0.4212, 0.1255)